## 1
This record from Alexandria via LeMat-Bulk describes an optimized crystal structure of CuNiS. The functional is PBE.

a = 5.695 Å, b = 5.638 Å, c = 5.053 Å
α = 90.00°, β = 92.61°, γ = 90.00°
Space group Cc (No. 9)
One atom of each set of equivalent atoms:
1 Cu 0.000 0.115 0.000 (multiplicity 4)
2 Ni 0.386 0.023 0.780 (multiplicity 4)
3 S 0.117 0.271 0.570 (multiplicity 4)

Calculated values
- volume (Å³ per cell) = 162.1
- magnetization (μB per cell) = 0.00

---

## 2
This record from Alexandria via LeMat-Bulk describes an optimized crystal structure of CuNiS. The functional is PBE.

a = 11.046 Å, b = 3.505 Å, c = 4.269 Å
α = 90.00°, β = 103.89°, γ = 90.00°
Space group Cm (No. 8)
One atom of each set of equivalent atoms:
1 Cu 0.000 0.000 0.000 (multiplicity 2)
2 Cu 0.172 0.500 0.162 (multiplicity 2)
3 Ni 0.034 0.500 0.556 (multiplicity 2)
4 Ni 0.340 0.000 0.093 (multiplicity 2)
5 S 0.166 0.000 0.726 (multiplicity 2)
6 S 0.387 0.500 0.409 (multiplicity 2)

Calculated values
- volume (Å³ per cell) = 160.4
- magnetization (μB per cell) = 0.00

---

## 3
This record from Alexandria via LeMat-Bulk describes an optimized crystal structure of CuNiS. The functional is PBE.

a = 7.135 Å, b = 7.133 Å, c = 6.775 Å
α = 90.00°, β = 90.00°, γ = 90.00°
Space group Cmce (No. 64)
One atom of each set of equivalent atoms:
1 Cu 0.188 0.000 0.000 (multiplicity 8)
2 Ni 0.000 0.056 0.326 (multiplicity 8)
3 S 0.000 0.241 0.590 (multiplicity 8)

Calculated values
- volume (Å³ per cell) = 344.8
- magnetization (μB per cell) = 0.00

---

## 4
This record from Alexandria via LeMat-Bulk describes an optimized crystal structure of CuNiS. The functional is PBE.

a = 3.841 Å, b = 4.045 Å, c = 6.483 Å
α = 78.69°, β = 74.07°, γ = 86.40°
Space group P1 (No. 1)
One atom of each set of equivalent atoms:
1 Cu 0.000 0.000 0.000 (multiplicity 1)
2 Cu 0.178 0.558 0.718 (multiplicity 1)
3 Ni 0.395 0.213 0.198 (multiplicity 1)
4 Ni 0.615 0.021 0.747 (multiplicity 1)
5 S 0.197 0.111 0.554 (multiplicity 1)
6 S 0.477 0.737 0.090 (multiplicity 1)

Calculated values
- volume (Å³ per cell) = 95.0
- magnetization (μB per cell) = 0.00

---

Here is how they stack up, most stable first: 1, 2, 4, 3.